{
  "formula": "NaMo4O8",
  "functional": "GGA+U",
  "state": "optimized geometry",
  "cell": [[6.478, 0.310, -0.437], [-3.952, 4.617, -2.305], [0.988, -0.522, 6.933]],
  "species": ["Na", "Mo", "Mo", "Mo", "Mo", "O", "O", "O", "O", "O", "O", "O", "O"],
  "fractional_positions": [[0.000, 0.500, 0.500], [0.248, 0.248, 0.000], [0.752, 0.752, 0.000], [0.258, 0.762, 0.020], [0.742, 0.238, 0.980], [0.652, 0.048, 0.178], [0.130, 0.526, 0.178], [0.634, 0.528, 0.161], [0.133, 0.042, 0.175], [0.867, 0.958, 0.825], [0.366, 0.472, 0.839], [0.870, 0.474, 0.822], [0.348, 0.952, 0.822]],
  "dos_ef_per_ev_atom": 0.085,
  "sg": "C2/m, No. 12",
  "dft_energy_ev_per_cell": -90.1
}